# 1
A relaxed structure of Li2YSc2Pb2, computed with PBE-GGA.

a = 4.7451 Å, b = 4.7451 Å, c = 8.8507 Å
α = 74.45°, β = 74.45°, γ = 60.00°
Last column: nearest neighbours and their distance in Å.
Positions (direct):
Sc 0.8658 0.8658 0.4025  3 Li 2.94, 4 Pb 3.14-3.18, 3 Sc 3.19
Sc 0.1342 0.1342 0.5975  3 Li 2.94, 4 Pb 3.14-3.18, 3 Sc 3.19
Li 0.4255 0.4255 0.7236  3 Pb 2.78, 3 Sc 2.94
Li 0.5745 0.5745 0.2764  3 Pb 2.78, 3 Sc 2.94
Pb 0.7400 0.7400 0.7800  3 Li 2.78
Pb 0.2600 0.2600 0.2200  3 Li 2.78
Y 0.0000 0.0000 0.0000  6 Pb 3.31, 2 Sc 3.39, 6 Li 3.59

Calculated values
Its space group is R-3m (166). The formation energy is -0.317 eV per atom. As for the theoretical density: 6.1 Mg/m³.

***

# 2
A relaxed structure of Li2ZrScPb, computed with PBE-GGA.

a = 4.7193 Å, b = 5.3728 Å, c = 4.7193 Å
α = 90.00°, β = 90.00°, γ = 90.00°
Last column: nearest neighbours and their distance in Å.
Positions (direct):
Zr 0.5000 0.5000 0.5000  4 Pb 3.34, 8 Li 3.58
Li 0.5000 0.0000 0.0000  2 Sc 2.36
Li 0.0000 0.0000 0.5000  2 Sc 2.36
Pb 0.0000 0.5000 0.0000  2 Sc 2.69
Sc 0.0000 0.0000 0.0000  4 Li 2.36

Calculated values
Its space group is P4/mmm (123). The formation energy is 0.806 eV per atom. As for the theoretical density: 5.0 Mg/m³.

***

# 3
A relaxed structure of LiPb5Se6, computed with PBE-GGA.

a = 7.4338 Å, b = 7.4561 Å, c = 7.4502 Å
α = 59.97°, β = 80.35°, γ = 70.44°
Last column: nearest neighbours and their distance in Å.
Positions (direct):
Pb 0.5000 0.5000 0.0000  6 Se 3.04-3.13
Pb 0.0000 0.3343 0.3314  6 Se 3.04
Pb 0.5000 0.1682 0.6636  6 Se 3.04-3.13
Pb 0.0000 0.6657 0.6686  6 Se 3.04
Pb 0.5000 0.8318 0.3364  6 Se 3.04-3.13
Se 0.2440 0.2410 0.0000  1 Li 2.95, 5 Pb 3.04-3.13
Se 0.2413 0.9203 0.6774  1 Li 2.94, 5 Pb 3.04-3.13
Se 0.7560 0.7590 0.0000  1 Li 2.95, 5 Pb 3.04-3.13
Se 0.2413 0.5977 0.3226  1 Li 2.94, 5 Pb 3.04-3.13
Se 0.7587 0.4023 0.6774  1 Li 2.94, 5 Pb 3.04-3.13
Se 0.7587 0.0797 0.3226  1 Li 2.94, 5 Pb 3.04-3.13
Li 0.0000 0.0000 0.0000  6 Se 2.94-2.95

Calculated values
Its space group is C2/m (12). For the uncorrected formation energy, the calculation gives -0.585 eV per atom. As for the theoretical density: 7.5 Mg/m³.

***

Q: Which value of theoretical density does entry 3 give?
A: 7.5 Mg/m³

***

Q: theoretical density of number 1 (Li2YSc2Pb2)?
A: 6.1 Mg/m³

***

Q: Which value of theoretical density does entry 3 give?
A: 7.5 Mg/m³

***

Q: What is the formula in the third record?
A: LiPb5Se6